## Mg3TaRu (PBE)

Data for crystalline Mg3TaRu at its relaxed geometry.

Geometry as POSCAR:
```
Mg3TaRu
1.0
5.231 0.000 0.000
0.000 5.231 0.000
0.000 0.000 5.231
Mg Ta Ru
3 1 1
Cartesian
0.000 0.000 2.615
0.000 2.615 0.000
2.615 0.000 0.000
0.000 0.000 0.000
2.615 2.615 2.615
```

Summary:
Density of states at the Fermi level: 10.50 states/eV/cell
E_form: 10.202 eV/f.u.
Crystal system: cubic

***

## BaLa2Cr (PBE)

Data for crystalline BaLa2Cr at its relaxed geometry.

Geometry as POSCAR:
```
BaLa2Cr
1.0
-9.678 4.289 4.666
-9.087 1.325 7.037
-7.303 4.670 7.661
La Cr Ba
2 1 1
Cartesian
-25.726 10.149 19.110
-19.371 7.642 14.389
-6.678 2.634 4.960
-13.395 5.284 9.950
```

Summary:
Density of states at the Fermi level: 5.15 states/eV/cell
E_form: 2.086 eV/f.u.
Crystal system: trigonal

***

## TlSnC2 (PBE)

Data for crystalline TlSnC2 at its relaxed geometry.

Geometry as POSCAR:
```
TlSnC2
1.0
-0.036 1.231 4.322
0.646 4.305 1.115
-3.412 2.439 1.614
C Sn Tl
2 1 1
Cartesian
-0.701 1.994 1.763
-2.102 5.982 5.288
0.000 0.000 0.000
-1.401 3.988 3.526
```

Summary:
Density of states at the Fermi level: 2.80 states/eV/cell
E_form: 9.319 eV/f.u.
Crystal system: cubic

***

## Er5TmIr6 (PBE)

Data for crystalline Er5TmIr6 at its relaxed geometry.

Geometry as POSCAR:
```
Er5TmIr6
1.0
4.441 -0.027 1.483
0.038 7.105 0.013
0.001 -0.013 7.415
Er Tm Ir
5 1 6
Cartesian
0.019 3.553 0.006
2.980 3.526 5.939
2.960 -0.027 5.934
1.481 -0.013 2.964
1.500 3.539 2.972
0.000 0.000 0.000
3.712 1.747 3.707
3.731 5.305 3.714
0.749 1.760 5.197
0.768 5.318 5.204
2.230 1.758 0.745
2.249 5.321 0.751
```

Summary:
Density of states at the Fermi level: 3.90 states/eV/cell
E_form: -10.685 eV/f.u.
Crystal system: monoclinic

***

## Sc2SnI (PBE)

Data for crystalline Sc2SnI at its relaxed geometry.

Geometry as POSCAR:
```
Sc2SnI
1.0
-5.442 3.151 1.368
-3.297 -4.071 -3.737
-5.413 -4.642 4.291
Sc Sn I
4 2 2
Cartesian
-7.423 -3.932 2.233
-4.235 -3.229 -1.057
-5.025 0.218 1.425
-11.620 -4.181 1.242
-4.369 -0.460 -1.185
-6.540 -4.586 -0.315
0.000 0.000 0.000
-7.612 -0.976 2.237
```

Summary:
Density of states at the Fermi level: 8.99 states/eV/cell
ΔE_f (raw): -123 meV/atom
Crystal system: tetragonal

***

## Np3Pd5S12 (PBE)

Data for crystalline Np3Pd5S12 at its relaxed geometry.

Geometry as POSCAR:
```
Np3Pd5S12
1.0
12.824 0.000 0.000
-4.275 12.091 0.000
-4.275 -6.045 10.471
Pd Np S
20 12 48
Cartesian
5.343 -3.778 9.162
-1.069 3.023 2.618
2.137 3.023 5.235
3.206 2.267 1.309
4.275 -3.023 5.235
5.343 3.023 7.853
-1.069 9.824 1.309
7.481 -0.756 6.544
-4.275 3.023 5.235
-3.206 6.801 3.927
3.206 9.068 2.618
4.275 6.045 0.000
1.069 3.778 9.162
0.000 0.000 0.000
-2.137 -3.023 5.235
1.069 -3.023 7.853
-1.069 0.756 6.544
6.412 0.000 0.000
-2.137 6.045 0.000
5.343 5.290 3.927
-3.206 -2.267 9.162
-3.206 2.267 9.162
7.481 3.778 1.309
1.069 6.045 2.618
1.069 -0.756 3.927
-1.069 5.290 6.544
3.206 6.801 6.544
9.618 0.000 2.618
7.481 8.312 1.309
-5.343 6.045 7.853
5.343 0.756 3.927
3.206 0.000 7.853
1.224 0.965 6.131
3.731 -1.480 3.448
2.639 4.499 0.895
-1.594 -0.704 4.793
5.910 6.047 1.787
2.681 1.480 3.448
6.544 10.806 0.442
-5.188 3.276 7.465
5.499 1.804 1.334
-4.777 0.002 8.684
-0.502 4.497 0.892
-2.269 -4.760 10.029
8.417 1.285 0.442
-4.143 4.760 10.029
4.777 1.549 9.579
-1.224 4.241 9.137
-4.407 8.809 3.901
-2.681 6.822 8.241
7.636 -4.241 9.137
0.543 7.525 7.023
2.639 7.594 0.892
-2.269 2.763 6.570
1.636 -1.549 9.579
-0.502 7.592 0.895
6.955 -0.776 2.230
-1.636 -0.002 8.684
-3.731 5.342 5.678
9.463 2.769 3.006
0.132 4.048 4.344
-1.224 -3.276 7.465
9.051 6.043 1.787
4.143 1.997 6.127
5.869 6.749 5.678
1.636 1.547 9.576
-0.543 0.776 2.230
-0.913 7.010 4.340
2.269 -1.997 6.127
8.006 0.704 4.793
-3.362 10.287 1.334
5.188 -0.965 6.131
4.777 -1.547 9.576
4.818 5.269 8.241
5.499 9.321 3.006
3.051 5.080 4.340
2.005 8.042 4.344
6.544 3.282 3.901
1.594 4.565 7.023
8.681 -2.763 6.570
```

Summary:
Density of states at the Fermi level: 120.51 states/eV/cell
ΔE_f (raw): -628 meV/atom
Crystal system: cubic